# 1
# Er2AgPd3 GGA-PBE relaxed
data_Er2AgPd3
_space_group_name_H-M_alt 'I b a m'
_space_group_IT_number 72
_space_group_name_Hall '-I 2 2c'
_cell_length_a 7.526
_cell_length_b 13.258
_cell_length_c 5.536
_cell_angle_alpha 90.00
_cell_angle_beta 90.00
_cell_angle_gamma 90.00
loop_
_atom_site_label
_atom_site_type_symbol
_atom_site_fract_x
_atom_site_fract_y
_atom_site_fract_z
Er1 Er 0.175 0.157 0.000
Ag1 Ag 0.000 0.500 0.000
Pd1 Pd 0.000 0.000 0.250
Pd2 Pd 0.000 0.314 0.250
# Energy of formation from the pure elements: -3.01 eV per formula unit
# Distance to the lowest polymorph of the same formula: 0.245 eV/atom
# Total DFT energy (no corrections): -5.095 eV per atom


# 2
# TbCe2NpS5 GGA-PBE relaxed
data_TbCe2NpS5
_space_group_name_H-M_alt 'P 4/m m m'
_space_group_IT_number 123
_space_group_name_Hall '-P 4 2'
_cell_length_a 4.922
_cell_length_b 4.922
_cell_length_c 10.473
_cell_angle_alpha 90.00
_cell_angle_beta 90.00
_cell_angle_gamma 90.00
loop_
_atom_site_label
_atom_site_type_symbol
_atom_site_fract_x
_atom_site_fract_y
_atom_site_fract_z
Tb1 Tb 0.000 0.000 0.000
Ce1 Ce 0.500 0.500 0.202
Np1 Np 0.000 0.000 0.500
S1 S 0.000 0.000 0.253
S2 S 0.000 0.500 0.000
S3 S 0.500 0.500 0.500
# Total DFT energy (no corrections): -6.815 eV per atom


# 3
# In2RePb GGA-PBE relaxed
data_In2RePb
_space_group_name_H-M_alt 'C m m m'
_space_group_IT_number 65
_space_group_name_Hall '-C 2 2'
_cell_length_a 3.367
_cell_length_b 5.255
_cell_length_c 10.382
_cell_angle_alpha 90.00
_cell_angle_beta 90.00
_cell_angle_gamma 90.00
loop_
_atom_site_label
_atom_site_type_symbol
_atom_site_fract_x
_atom_site_fract_y
_atom_site_fract_z
In1 In 0.000 0.000 0.214
Re1 Re 0.000 0.500 0.000
Pb1 Pb 0.000 0.500 0.500
# Energy of formation from the pure elements: 2.45 eV per formula unit
# Distance to the lowest polymorph of the same formula: 0.167 eV/atom
# Total DFT energy (no corrections): -4.797 eV per atom


# 4
# Li2ScPt GGA-PBE relaxed
data_Li2ScPt
_space_group_name_H-M_alt 'P m m m'
_space_group_IT_number 47
_cell_length_a 2.909
_cell_length_b 4.196
_cell_length_c 5.357
_cell_angle_alpha 90.00
_cell_angle_beta 90.00
_cell_angle_gamma 90.00
loop_
_space_group_symop_operation_xyz
'x,y,z'
'-x,-y,-z'
'-x,-y,z'
'x,y,-z'
'x,-y,-z'
'-x,y,z'
'-x,y,-z'
'x,-y,z'
loop_
_atom_site_label
_atom_site_type_symbol
_atom_site_fract_x
_atom_site_fract_y
_atom_site_fract_z
Li1 Li 0.000 0.000 0.210
Sc1 Sc 0.500 0.500 0.500
Pt1 Pt 0.500 0.500 0.000
# Energy of formation from the pure elements: -1.42 eV per formula unit
# Distance to the lowest polymorph of the same formula: 0.222 eV/atom
# Total DFT energy (no corrections): -4.406 eV per atom


> Number 4 is which compound?

Li2ScPt


> Which formula does entry 3 have?

In2RePb


Copy entry 1 word for word.
# Er2AgPd3 GGA-PBE relaxed
data_Er2AgPd3
_space_group_name_H-M_alt 'I b a m'
_space_group_IT_number 72
_space_group_name_Hall '-I 2 2c'
_cell_length_a 7.526
_cell_length_b 13.258
_cell_length_c 5.536
_cell_angle_alpha 90.00
_cell_angle_beta 90.00
_cell_angle_gamma 90.00
loop_
_atom_site_label
_atom_site_type_symbol
_atom_site_fract_x
_atom_site_fract_y
_atom_site_fract_z
Er1 Er 0.175 0.157 0.000
Ag1 Ag 0.000 0.500 0.000
Pd1 Pd 0.000 0.000 0.250
Pd2 Pd 0.000 0.314 0.250
# Energy of formation from the pure elements: -3.01 eV per formula unit
# Distance to the lowest polymorph of the same formula: 0.245 eV/atom
# Total DFT energy (no corrections): -5.095 eV per atom